Record 1
Computed, not measured: crystalline NbOsRu2 at its relaxed geometry at the GGA-PBE level of DFT.

Computed properties:
Crystal system: tetragonal
Energy of formation, eV per formula unit: -0.425
Magnetization, μB per formula unit: 0.000
Total energy, eV/atom: -10.069
Offset from the most stable computed form, meV per atom: 0
ρ, Mg/m³: 13.4

```
NbOsRu2
1.0
-0.125 -0.956 3.776
-3.459 -1.762 -0.560
1.844 -3.369 -0.792
Ru Nb Os
2 1 1
direct
0.000 0.000 0.500
0.000 0.500 0.000
0.500 0.000 0.000
0.500 0.500 0.500
```

=====

Record 2
Computed, not measured: crystalline NbOs2Ru at its relaxed geometry at the GGA-PBE level of DFT.

Computed properties:
Crystal system: cubic
Energy of formation, eV per formula unit: 1.338
Magnetization, μB per formula unit: 1.510
Total energy, eV/atom: -10.117
Offset from the most stable computed form, meV per atom: 450
ρ, Mg/m³: 15.4

```
NbOs2Ru
1.0
-1.537 -4.048 -0.974
0.168 -3.228 3.041
-3.740 -1.467 1.887
Ru Nb Os
1 1 2
direct
0.500 0.500 0.500
0.000 0.000 0.000
0.250 0.250 0.250
0.750 0.750 0.750
```

=====

Record 3
Computed, not measured: crystalline NbOsRu at its relaxed geometry at the GGA-PBE level of DFT.

Computed properties:
Crystal system: tetragonal
Energy of formation, eV per formula unit: -0.193
Magnetization, μB per formula unit: 0.000
Total energy, eV/atom: -10.256
Offset from the most stable computed form, meV per atom: 1
ρ, Mg/m³: 13.6

```
NbOsRu
1.0
-1.618 1.905 1.202
-1.728 -0.100 -2.167
-1.502 -5.323 3.218
Ru Nb Os
1 1 1
direct
0.680 0.680 0.360
0.000 0.000 0.000
0.320 0.320 0.640
```

=====

- Which of these has the lowest energy of formation?
  NbOsRu2

=====

Copy entry 2 word for word.
Computed, not measured: crystalline NbOs2Ru at its relaxed geometry at the GGA-PBE level of DFT.

Computed properties:
Crystal system: cubic
Energy of formation, eV per formula unit: 1.338
Magnetization, μB per formula unit: 1.510
Total energy, eV/atom: -10.117
Offset from the most stable computed form, meV per atom: 450
ρ, Mg/m³: 15.4

```
NbOs2Ru
1.0
-1.537 -4.048 -0.974
0.168 -3.228 3.041
-3.740 -1.467 1.887
Ru Nb Os
1 1 2
direct
0.500 0.500 0.500
0.000 0.000 0.000
0.250 0.250 0.250
0.750 0.750 0.750
```